DFT (PBE) results for an optimized crystal structure of YFeCl2.

Cell lengths 10.2529, 3.4344, 6.9348 Å; angles 90.00, 121.35, 90.00 degrees
Closest atoms and distances in Å follow each position.
Space group Cm (No. 8)
Unique sites:
Y (0.0000, 0.0000, 0.0000) [2 per cell]  5 Cl 2.76-2.97, 2 Fe 2.93
Fe (0.2592, 0.0000, 0.6586) [2 per cell]  2 Cl 2.62, 2 Y 2.93
Cl (0.0646, 0.5000, 0.3620) [2 per cell]  2 Fe 2.62, 2 Y 2.82
Cl (0.2059, 0.5000, 0.9875) [2 per cell]  3 Y 2.76-2.97

* raw formation energy: -2.750 eV/f.u.
* energy relative to the lowest polymorph listed for this composition: 135 meV per atom
* E_tot: -5.342 eV/atom

---

DFT (PBE) results for an optimized crystal structure of TbHgF3.

Cell lengths 4.5158, 4.5158, 4.5158 Å; angles 90.00, 90.00, 90.00 degrees
Closest atoms and distances in Å follow each position.
Space group Pm-3m (No. 221)
Unique sites:
Tb (0.0000, 0.0000, 0.0000) [1 per cell]  6 F 2.26
Hg (0.5000, 0.5000, 0.5000) [1 per cell]  12 F 3.19
F (0.0000, 0.0000, 0.5000) [3 per cell]  2 Tb 2.26

* raw formation energy: -15.765 eV/f.u.
* E_tot: -5.262 eV/atom

---

DFT (PBE) results for an optimized crystal structure of PmNd12Tm7.

Cell lengths 15.2244, 15.2244, 10.1188 Å; angles 90.00, 90.00, 120.00 degrees
Closest atoms and distances in Å follow each position.
Space group R-3 (No. 148, hexagonal axes)
Unique sites:
Pm (0.0000, 0.0000, 0.0000) [3 per cell]  6 Tm 3.43, 6 Nd 3.77
Nd (0.0439, 0.8440, 0.2520) [18 per cell]  5 Tm 3.36-3.74, 4 Nd 3.37-3.76
Nd (0.0469, 0.7980, 0.5770) [18 per cell]  4 Nd 3.37-3.76, 4 Tm 3.37-3.57
Tm (0.0000, 0.0000, 0.5000) [3 per cell]  12 Nd 3.57-3.74
Tm (0.0664, 0.8213, 0.9253) [18 per cell]  7 Nd 3.36-3.70, 1 Pm 3.43, 3 Tm 3.43-3.67

* energy relative to the lowest polymorph listed for this composition: 0 meV per atom
* ΔE_f: 0.150 eV per atom
* E_tot: -4.513 eV/atom

---

DFT (PBE) results for an optimized crystal structure of Ag4SeBr.

Cell lengths 4.6211, 7.1561, 8.8527 Å; angles 88.47, 74.95, 81.41 degrees
Closest atoms and distances in Å follow each position.
Space group P-1 (No. 2)
Unique sites:
Ag (0.1120, 0.1421, 0.0857) [2 per cell]  1 Br 2.77, 2 Se 2.81-2.94, 5 Ag 2.90-3.04
Ag (0.1244, 0.7335, 0.1791) [2 per cell]  2 Se 2.68-2.69, 4 Ag 2.79-2.93
Ag (0.3015, 0.4833, 0.9067) [2 per cell]  7 Ag 2.79-3.04, 1 Br 2.98, 1 Se 3.05
Ag (0.3358, 0.1884, 0.4992) [2 per cell]  1 Se 2.66, 2 Br 2.70-2.88, 1 Ag 2.89
Se (0.4425, 0.0818, 0.7717) [2 per cell]  5 Ag 2.66-2.94
Br (0.1090, 0.6610, 0.6333) [2 per cell]  4 Ag 2.70-2.98

* raw formation energy: -0.237 eV/f.u.
* energy relative to the lowest polymorph listed for this composition: 0 meV per atom
* E_tot: -2.800 eV/atom

---

DFT (PBE) results for an optimized crystal structure of LuScInMo.

Cell lengths 6.9762, 6.9762, 6.9762 Å; angles 90.00, 90.00, 90.00 degrees
Closest atoms and distances in Å follow each position.
Space group F-43m (No. 216)
Unique sites:
Lu (0.0000, 0.0000, 0.0000) [4 per cell]  4 Mo 3.02, 4 In 3.02
Sc (0.0000, 0.0000, 0.5000) [4 per cell]  4 In 3.02, 4 Mo 3.02
In (0.2500, 0.2500, 0.7500) [4 per cell]  4 Sc 3.02, 4 Lu 3.02
Mo (0.2500, 0.2500, 0.2500) [4 per cell]  4 Sc 3.02, 4 Lu 3.02

* ΔE_f: -0.019 eV per atom
* E_tot: -6.125 eV/atom

---

DFT (PBE) results for an optimized crystal structure of TlPbSCl2.

Cell lengths 5.4210, 5.4210, 5.1981 Å; angles 90.00, 90.00, 90.00 degrees
Closest atoms and distances in Å follow each position.
Space group P4/mmm (No. 123)
Unique sites:
Tl (0.0000, 0.0000, 0.0000) [1 per cell]  2 S 2.60, 4 Cl 2.71
Pb (0.5000, 0.5000, 0.5000) [1 per cell]  8 Cl 3.76, 4 S 3.83
S (0.0000, 0.0000, 0.5000) [1 per cell]  2 Tl 2.60
Cl (0.0000, 0.5000, 0.0000) [2 per cell]  2 Tl 2.71

* raw formation energy: -1.383 eV/f.u.
* energy relative to the lowest polymorph listed for this composition: 295 meV per atom
* E_tot: -3.056 eV/atom

---

DFT (PBE) results for an optimized crystal structure of SrZrOs3.

Cell lengths 4.9489, 4.9489, 4.9489 Å; angles 90.00, 90.00, 90.00 degrees
Closest atoms and distances in Å follow each position.
Space group Pm-3m (No. 221)
Unique sites:
Sr (0.0000, 0.0000, 0.0000) [1 per cell]  12 Os 3.50
Zr (0.5000, 0.5000, 0.5000) [1 per cell]  6 Os 2.47
Os (0.0000, 0.5000, 0.5000) [3 per cell]  2 Zr 2.47

* energy relative to the lowest polymorph listed for this composition: 0 meV per atom
* ΔE_f: 1.671 eV per atom
* E_tot: -7.113 eV/atom

---

DFT (PBE) results for an optimized crystal structure of La2Pm6Sc.

Cell lengths 3.6232, 3.6232, 26.9825 Å; angles 90.00, 90.00, 120.00 degrees
Closest atoms and distances in Å follow each position.
Space group P-6m2 (No. 187)
Unique sites:
La (0.0000, 0.0000, 0.1729) [2 per cell]  6 La 3.62, 6 Pm 3.64-3.77
Pm (0.0000, 0.0000, 0.3995) [2 per cell]  3 Sc 3.42, 9 Pm 3.62-3.64
Pm (0.6667, 0.3333, 0.0626) [2 per cell]  7 Pm 3.38-3.62, 3 La 3.64
Pm (0.6667, 0.3333, 0.2892) [2 per cell]  9 Pm 3.62-3.64, 3 La 3.77
Sc (0.6667, 0.3333, 0.5000) [1 per cell]  6 Pm 3.42, 6 Sc 3.62

* energy relative to the lowest polymorph listed for this composition: 0 meV per atom
* ΔE_f: 0.077 eV per atom
* E_tot: -4.889 eV/atom

---

DFT (PBE) results for an optimized crystal structure of AcYHg6.

Cell lengths 5.0909, 6.9373, 11.9667 Å; angles 90.00, 90.00, 90.00 degrees
Closest atoms and distances in Å follow each position.
Space group Amm2 (No. 38)
Unique sites:
Ac (0.0000, 0.0000, 0.0000) [2 per cell]  12 Hg 3.32-3.48
Y (0.5000, 0.0000, 0.6793) [2 per cell]  12 Hg 3.21-3.51
Hg (0.0000, 0.0000, 0.5151) [2 per cell]  8 Hg 3.21-3.58, 2 Y 3.22, 2 Ac 3.47
Hg (0.0000, 0.2469, 0.2527) [4 per cell]  7 Hg 3.19-3.51, 2 Y 3.21, 2 Ac 3.44-3.48
Hg (0.5000, 0.0000, 0.1790) [2 per cell]  6 Hg 3.19-3.26, 2 Ac 3.33, 2 Y 3.47
Hg (0.5000, 0.2269, 0.4173) [4 per cell]  6 Hg 3.15-3.26, 2 Ac 3.32, 2 Y 3.42-3.51

* ΔE_f: -0.363 eV per atom
* E_tot: -1.911 eV/atom

---

DFT (PBE) results for an optimized crystal structure of Er2BeGe2Rh5.

Cell lengths 9.6737, 9.6737, 3.4567 Å; angles 90.00, 90.00, 90.00 degrees
Closest atoms and distances in Å follow each position.
Space group P4/mbm (No. 127)
Unique sites:
Er (0.1716, 0.3284, 0.0000) [4 per cell]  3 Ge 2.72-2.94, 2 Rh 2.91
Be (0.0000, 0.0000, 0.0000) [2 per cell]  8 Rh 2.66
Ge (0.1295, 0.6295, 0.0000) [4 per cell]  6 Rh 2.48, 1 Er 2.72
Rh (0.0000, 0.5000, 0.5000) [2 per cell]  4 Ge 2.48
Rh (0.0640, 0.8012, 0.5000) [8 per cell]  2 Ge 2.48, 2 Be 2.66

* ΔE_f: -0.711 eV per atom
* E_tot: -6.596 eV/atom

---

DFT (PBE) results for an optimized crystal structure of Tb7Sm3In.

Cell lengths 7.0054, 7.0054, 8.5728 Å; angles 90.00, 90.00, 120.00 degrees
Closest atoms and distances in Å follow each position.
Space group P3m1 (No. 156)
Unique sites:
Tb (0.0000, 0.0000, 0.0000) [1 per cell]  3 Sm 3.47, 9 Tb 3.49-3.50
Tb (0.1640, 0.3280, 0.6663) [3 per cell]  7 Tb 3.43-3.56, 2 In 3.50, 2 Sm 3.51
Tb (0.5015, 0.0030, 0.9872) [3 per cell]  1 In 3.40, 8 Tb 3.43-3.53, 2 Sm 3.56
Sm (0.3328, 0.1664, 0.3299) [3 per cell]  5 Tb 3.47-3.56, 4 Sm 3.50-3.51, 1 In 3.52
In (0.6667, 0.3333, 0.6663) [1 per cell]  9 Tb 3.40-3.50, 3 Sm 3.52

* ΔE_f: 0.105 eV per atom
* E_tot: -4.378 eV/atom

---

DFT (PBE) results for an optimized crystal structure of Ba2In2Si3SO10.

Cell lengths 23.3016, 5.4123, 8.9144 Å; angles 90.00, 90.00, 90.00 degrees
Closest atoms and distances in Å follow each position.
Space group Pca2_1 (No. 29)
Unique sites:
Ba (0.0936, 0.1286, 0.0000) [4 per cell]  5 O 2.68-2.90
Ba (0.2253, 0.1433, 0.3507) [4 per cell]  7 O 2.74-3.06
In (0.0653, 0.1107, 0.5176) [4 per cell]  4 O 2.11-2.25
In (0.1514, 0.5510, 0.6810) [4 per cell]  4 O 2.14-2.21
Si (0.0123, 0.6326, 0.7460) [4 per cell]  4 O 1.63-1.67
Si (0.1073, 0.6155, 0.3065) [4 per cell]  4 O 1.62-1.67
Si (0.2038, 0.6159, 0.0556) [4 per cell]  4 O 1.61-1.69
S (0.1526, 0.0057, 0.6765) [4 per cell]  2 In 2.46-2.54
O (0.0111, 0.7736, 0.9083) [4 per cell]  1 Si 1.64
O (0.0138, 0.8238, 0.6047) [4 per cell]  1 Si 1.63
O (0.0498, 0.5147, 0.2193) [4 per cell]  2 Si 1.64-1.67
O (0.0641, 0.4242, 0.7398) [4 per cell]  1 Si 1.65
O (0.1080, 0.9134, 0.3255) [4 per cell]  1 Si 1.62
O (0.1170, 0.4482, 0.4584) [4 per cell]  1 Si 1.64
O (0.1605, 0.5195, 0.1961) [4 per cell]  2 Si 1.67-1.69
O (0.1787, 0.4738, 0.9058) [4 per cell]  1 Si 1.65
O (0.2034, 0.9135, 0.0512) [4 per cell]  1 Si 1.61
O (0.2351, 0.4767, 0.5931) [4 per cell]  1 Si 1.64

* raw formation energy: -44.551 eV/f.u.
* E_tot: -6.881 eV/atom

---

DFT (PBE) results for an optimized crystal structure of ReSbMo2.

Cell lengths 3.2272, 4.7248, 9.1956 Å; angles 90.00, 90.00, 90.00 degrees
Closest atoms and distances in Å follow each position.
Space group Cmm2 (No. 35)
Unique sites:
Re (0.0000, 0.0000, 0.0000) [2 per cell]  2 Mo 2.61, 4 Re 2.86
Sb (0.0000, 0.5000, 0.7219) [2 per cell]  4 Sb 2.86, 2 Mo 2.93, 2 Re 3.02
Mo (0.0000, 0.0000, 0.4562) [2 per cell]  6 Mo 2.69-2.86, 2 Sb 2.93
Mo (0.0000, 0.5000, 0.2227) [2 per cell]  2 Re 2.61, 6 Mo 2.69-2.86

* raw formation energy: 2.187 eV/f.u.
* E_tot: -9.012 eV/atom

---

DFT (PBE) results for an optimized crystal structure of BeOs2Pt.

Cell lengths 2.9033, 4.3194, 8.3600 Å; angles 90.00, 90.00, 90.00 degrees
Closest atoms and distances in Å follow each position.
Space group Imm2 (No. 44)
Unique sites:
Be (0.0000, 0.0000, 0.0000) [2 per cell]  2 Pt 2.31, 2 Os 2.38
Os (0.0000, 0.0000, 0.4985) [2 per cell]  4 Be 2.60, 6 Os 2.71-2.90, 4 Pt 2.80
Os (0.0000, 0.5000, 0.7249) [2 per cell]  2 Be 2.38, 4 Pt 2.65
Pt (0.0000, 0.5000, 0.2854) [2 per cell]  2 Be 2.31

* ΔE_f: 0.029 eV per atom
* E_tot: -8.028 eV/atom

---

DFT (PBE) results for an optimized crystal structure of Na2U2Se2S.

Cell lengths 5.1727, 5.1727, 14.9638 Å; angles 90.00, 90.00, 90.00 degrees
Closest atoms and distances in Å follow each position.
Space group I4/mmm (No. 139)
Unique sites:
Na (0.0000, 0.0000, 0.1935) [4 per cell]  1 Se 2.85, 1 S 2.89
U (0.0000, 0.5000, 0.0000) [4 per cell]  2 S 2.59
Se (0.0000, 0.0000, 0.3840) [4 per cell]  1 Na 2.85, 4 U 3.11
S (0.0000, 0.0000, 0.0000) [2 per cell]  4 U 2.59, 2 Na 2.89

* raw formation energy: -5.160 eV/f.u.
* E_tot: -5.924 eV/atom

---

DFT (PBE) results for an optimized crystal structure of CrAgAu2.

Cell lengths 3.2415, 3.2415, 6.6330 Å; angles 90.00, 90.00, 90.00 degrees
Closest atoms and distances in Å follow each position.
Space group P4/mmm (No. 123)
Unique sites:
Cr (0.0000, 0.0000, 0.0000) [1 per cell]  8 Au 2.77
Ag (0.0000, 0.0000, 0.5000) [1 per cell]  8 Au 2.89
Au (0.5000, 0.5000, 0.2352) [2 per cell]  4 Cr 2.77, 4 Ag 2.89

* ΔE_f: 0.082 eV per atom
* E_tot: -4.675 eV/atom

---

DFT (PBE) results for an optimized crystal structure of CsTe2Ru.

Cell lengths 4.1196, 4.1196, 29.5558 Å; angles 90.00, 90.00, 120.00 degrees
Closest atoms and distances in Å follow each position.
Space group R-3m (No. 166, hexagonal axes)
Unique sites:
Cs (0.0000, 0.0000, 0.0000) [3 per cell]  2 Te 3.62
Te (0.0000, 0.0000, 0.1226) [6 per cell]  3 Ru 2.71
Ru (0.0000, 0.0000, 0.5000) [3 per cell]  6 Te 2.71

* raw formation energy: -0.423 eV/f.u.
* energy relative to the lowest polymorph listed for this composition: 199 meV per atom
* E_tot: -4.209 eV/atom

---

DFT (PBE) results for an optimized crystal structure of Hf8Ti2Pb3.

Cell lengths 5.8188, 5.8188, 31.4393 Å; angles 90.00, 90.00, 120.00 degrees
Closest atoms and distances in Å follow each position.
Space group R-3m (No. 166, hexagonal axes)
Unique sites:
Hf (0.0000, 0.0000, 0.2203) [6 per cell]  1 Ti 2.71, 1 Pb 2.90
Hf (0.0060, 0.5030, 0.7275) [18 per cell]  1 Ti 2.83, 4 Hf 2.86-2.96, 3 Pb 3.08-3.17
Ti (0.0000, 0.0000, 0.1341) [6 per cell]  4 Hf 2.71-2.83
Pb (0.0000, 0.0000, 0.3126) [6 per cell]  10 Hf 2.90-3.17
Pb (0.0000, 0.0000, 0.5000) [3 per cell]  6 Ti 3.51, 12 Hf 3.74-3.76

* ΔE_f: 0.367 eV per atom
* E_tot: -7.828 eV/atom

---

DFT (PBE) results for an optimized crystal structure of Y3SiBr.

Cell lengths 5.4564, 5.4564, 5.4564 Å; angles 90.00, 90.00, 90.00 degrees
Closest atoms and distances in Å follow each position.
Space group Pm-3m (No. 221)
Unique sites:
Y (0.0000, 0.0000, 0.5000) [3 per cell]  2 Si 2.73
Si (0.0000, 0.0000, 0.0000) [1 per cell]  6 Y 2.73
Br (0.5000, 0.5000, 0.5000) [1 per cell]  12 Y 3.86

* raw formation energy: -0.885 eV/f.u.
* energy relative to the lowest polymorph listed for this composition: 0 meV per atom
* E_tot: -5.475 eV/atom

---

DFT (PBE) results for an optimized crystal structure of VPHRuS.

Cell lengths 3.0677, 3.2771, 6.0393 Å; angles 82.22, 82.94, 89.24 degrees
Closest atoms and distances in Å follow each position.
Space group P1 (No. 1)
Unique sites:
V (0.0000, 0.0000, 0.0000) [1 per cell]  1 H 1.85
P (0.5741, 0.0834, 0.6916) [1 per cell]  4 Ru 2.35-2.40, 2 V 2.39, 1 H 2.54
H (0.9430, 0.9297, 0.3112) [1 per cell]  1 Ru 1.81, 1 V 1.85
Ru (0.1000, 0.6184, 0.5588) [1 per cell]  1 H 1.81
S (0.4613, 0.4559, 0.1534) [1 per cell]  4 H 2.38-2.51, 4 V 2.40-2.45

* energy relative to the lowest polymorph listed for this composition: 162 meV per atom
* E_tot: -6.580 eV/atom

---

| no. | mass density (g cm⁻³) |
| --- | --- |
| 1 | 3.4 |
| 2 | 7.5 |
| 3 | 7.5 |
| 4 | 7.0 |
| 5 | 8.4 |
| 6 | 5.6 |
| 7 | 10.3 |
| 8 | 6.5 |
| 9 | 11.9 |
| 10 | 10.3 |
| 11 | 7.6 |
| 12 | 4.6 |
| 13 | 11.8 |
| 14 | 18.5 |
| 15 | 5.9 |
| 16 | 13.2 |
| 17 | 5.6 |
| 18 | 11.6 |
| 19 | 3.8 |
| 20 | 6.0 |